Computed, not measured: AsClO after structural relaxation at the GGA-PBE level of DFT.

Cell: 7.3264 7.3264 6.1058 Å, 90.00 90.00 120.00°
With the nearest neighbours (Å) after each atom.
Space group P3_2 (No. 145)
Asymmetric unit:
As: 0.1959 0.7867 0.0000 x3  2 O 1.80
Cl: 0.4385 0.3974 0.9088 x3  1 As 2.25
O: 0.1585 0.6005 0.7872 x3  2 As 1.80

Output
- Total magnetic moment: 0.0 μB/f.u.
- DFT total energy: -4.772 eV/atom
- ΔE_f (raw): -0.954 eV/atom

Computed, not measured: AsClO after structural relaxation at the GGA-PBE level of DFT.

Cell: 4.6072 5.7438 6.3039 Å, 78.60 88.70 69.80°
With the nearest neighbours (Å) after each atom.
Space group P1 (No. 1)
Asymmetric unit:
As: 0.0000 0.0000 0.0000 x1  2 O 1.81-1.83
As: 0.4423 0.1599 0.6389 x1  2 O 1.81-1.83
Cl: 0.5566 0.8053 0.5045 x1  1 As 2.25
Cl: 0.8044 0.3585 0.1295 x1  1 As 2.25
O: 0.3650 0.0332 0.9160 x1  2 As 1.81-1.83
O: 0.8326 0.1225 0.7222 x1  2 As 1.81-1.83

Output
- Total magnetic moment: 0.0 μB/f.u.
- DFT total energy: -4.817 eV/atom
- ΔE_f (raw): -0.999 eV/atom

Computed, not measured: AsCl3O after structural relaxation at the GGA-PBE level of DFT.

Cell: 4.5009 4.5009 4.5009 Å, 90.00 90.00 90.00°
With the nearest neighbours (Å) after each atom.
Space group Pm-3m (No. 221)
Asymmetric unit:
As: 0.0000 0.0000 0.0000 x1  12 Cl 3.18
Cl: 0.0000 0.5000 0.5000 x3  2 O 2.25
O: 0.5000 0.5000 0.5000 x1  6 Cl 2.25

Output
- Total magnetic moment: 0.0 μB/f.u.
- DFT total energy: -2.268 eV/atom
- ΔE_f (raw): 0.761 eV/atom

Computed, not measured: As2ClO after structural relaxation at the GGA-PBE level of DFT.

Cell: 4.7614 4.7614 14.1929 Å, 90.00 90.00 90.00°
With the nearest neighbours (Å) after each atom.
Space group I-42d (No. 122)
Asymmetric unit:
As: 0.1171 0.2500 0.1250 x8  2 O 2.21
Cl: 0.0000 0.0000 0.5000 x4  4 As 2.81
O: 0.0000 0.0000 0.0000 x4  4 As 2.21

Output
- Total magnetic moment: 0.0 μB/f.u.
- DFT total energy: -4.105 eV/atom
- ΔE_f (raw): -0.079 eV/atom

Computed, not measured: AsClO after structural relaxation at the GGA-PBE level of DFT.

Cell: 6.0275 5.8995 8.2124 Å, 90.00 97.90 90.00°
With the nearest neighbours (Å) after each atom.
Space group C2/m (No. 12)
Asymmetric unit:
As: 0.0867 0.0000 0.3529 x4  2 O 1.85
Cl: 0.2374 0.0000 0.8246 x4  1 As 2.27
O: 0.0000 0.2093 0.5000 x4  2 As 1.85

Output
- Total magnetic moment: 0.0 μB/f.u.
- DFT total energy: -4.745 eV/atom
- ΔE_f (raw): -0.927 eV/atom

Computed, not measured: As3ClO after structural relaxation at the GGA-PBE level of DFT.

Cell: 4.5192 4.5192 4.5192 Å, 90.00 90.00 90.00°
With the nearest neighbours (Å) after each atom.
Space group Pm-3m (No. 221)
Asymmetric unit:
As: 0.0000 0.0000 0.5000 x3  2 O 2.26
Cl: 0.5000 0.5000 0.5000 x1  12 As 3.20
O: 0.0000 0.0000 0.0000 x1  6 As 2.26

Output
- Total magnetic moment: 0.0 μB/f.u.
- DFT total energy: -3.614 eV/atom
- ΔE_f (raw): 0.537 eV/atom

Computed, not measured: AsOsCl2O after structural relaxation at the GGA-PBE level of DFT.

Cell: 4.4333 4.4333 4.4116 Å, 90.00 90.00 90.00°
With the nearest neighbours (Å) after each atom.
Space group P4/mmm (No. 123)
Asymmetric unit:
As: 0.0000 0.0000 0.0000 x1  2 O 2.21
Os: 0.5000 0.5000 0.0000 x1  8 Cl 3.13, 4 As 3.13
Cl: 0.0000 0.5000 0.5000 x2  2 O 2.22
O: 0.0000 0.0000 0.5000 x1  2 As 2.21, 4 Cl 2.22

Output
- Total magnetic moment: 3.4 μB/f.u.
- DFT total energy: -3.576 eV/atom
- ΔE_f (raw): 1.330 eV/atom

Computed, not measured: AsOs2ClO after structural relaxation at the GGA-PBE level of DFT.

Cell: 3.9083 3.9083 5.5142 Å, 90.00 90.00 90.00°
With the nearest neighbours (Å) after each atom.
Space group P4/mmm (No. 123)
Asymmetric unit:
As: 0.0000 0.0000 0.0000 x1  4 Cl 2.76
Os: 0.0000 0.5000 0.5000 x2  2 O 1.95
Cl: 0.5000 0.5000 0.0000 x1  2 O 2.76, 4 As 2.76
O: 0.5000 0.5000 0.5000 x1  4 Os 1.95

Output
- Total magnetic moment: 0.0 μB/f.u.
- DFT total energy: -5.794 eV/atom
- ΔE_f (raw): 0.988 eV/atom

Computed, not measured: AsPCl2O after structural relaxation at the GGA-PBE level of DFT.

Cell: 4.4707 4.4707 4.2812 Å, 90.00 90.00 90.00°
With the nearest neighbours (Å) after each atom.
Space group P4/mmm (No. 123)
Asymmetric unit:
As: 0.0000 0.0000 0.0000 x1  8 Cl 3.09, 4 P 3.16
P: 0.5000 0.5000 0.0000 x1  2 O 2.14
Cl: 0.0000 0.5000 0.5000 x2  2 O 2.24
O: 0.5000 0.5000 0.5000 x1  2 P 2.14, 4 Cl 2.24

Output
- Total magnetic moment: 0.0 μB/f.u.
- DFT total energy: -2.985 eV/atom
- ΔE_f (raw): 0.758 eV/atom

Computed, not measured: AsP2ClO after structural relaxation at the GGA-PBE level of DFT.

Cell: 4.2521 4.2521 4.4122 Å, 90.00 90.00 90.00°
With the nearest neighbours (Å) after each atom.
Space group P4/mmm (No. 123)
Asymmetric unit:
As: 0.0000 0.0000 0.0000 x1  4 Cl 3.01, 8 P 3.06
P: 0.0000 0.5000 0.5000 x2  2 O 2.13
Cl: 0.5000 0.5000 0.0000 x1  2 O 2.21
O: 0.5000 0.5000 0.5000 x1  4 P 2.13, 2 Cl 2.21

Output
- Total magnetic moment: 0.0 μB/f.u.
- DFT total energy: -3.703 eV/atom
- ΔE_f (raw): 0.752 eV/atom

Computed, not measured: AsP2ClO after structural relaxation at the GGA-PBE level of DFT.

Cell: 4.8102 4.8102 4.7513 Å, 90.00 90.00 90.00°
With the nearest neighbours (Å) after each atom.
Space group P4/mmm (No. 123)
Asymmetric unit:
As: 0.0000 0.0000 0.0000 x1  2 Cl 2.38, 4 P 2.41
P: 0.0000 0.5000 0.0000 x2  2 As 2.41
Cl: 0.0000 0.0000 0.5000 x1  2 As 2.38
O: 0.5000 0.5000 0.5000 x1  8 P 3.38, 4 Cl 3.40

Output
- Total magnetic moment: 1.2 μB/f.u.
- DFT total energy: -3.143 eV/atom
- ΔE_f (raw): 1.311 eV/atom

Computed, not measured: AsPCl2O after structural relaxation at the GGA-PBE level of DFT.

Cell: 4.9245 4.9245 5.0760 Å, 90.00 90.00 90.00°
With the nearest neighbours (Å) after each atom.
Space group P4/mmm (No. 123)
Asymmetric unit:
As: 0.0000 0.0000 0.0000 x1  4 Cl 2.46, 2 P 2.54
P: 0.0000 0.0000 0.5000 x1  2 As 2.54
Cl: 0.0000 0.5000 0.0000 x2  2 As 2.46
O: 0.5000 0.5000 0.5000 x1  4 P 3.48, 8 Cl 3.54

Output
- Total magnetic moment: 0.1 μB/f.u.
- DFT total energy: -2.983 eV/atom
- ΔE_f (raw): 0.759 eV/atom

Computed, not measured: AsP2ClO after structural relaxation at the GGA-PBE level of DFT.

Cell: 4.9312 4.9312 3.6960 Å, 90.00 90.00 90.00°
With the nearest neighbours (Å) after each atom.
Space group P4/mmm (No. 123)
Asymmetric unit:
As: 0.0000 0.0000 0.0000 x1  2 O 1.85
P: 0.0000 0.5000 0.0000 x2  2 As 2.47
Cl: 0.5000 0.5000 0.5000 x1  8 P 3.08
O: 0.0000 0.0000 0.5000 x1  2 As 1.85

Output
- Total magnetic moment: 0.0 μB/f.u.
- DFT total energy: -3.883 eV/atom
- ΔE_f (raw): 0.572 eV/atom

Computed, not measured: PaAsClO4 after structural relaxation at the GGA-PBE level of DFT.

Cell: 10.3132 7.0356 6.9303 Å, 90.00 107.42 90.00°
With the nearest neighbours (Å) after each atom.
Space group C2/m (No. 12)
Asymmetric unit:
Pa: 0.2395 0.0000 0.1253 x4  4 O 2.17-2.26
As: 0.1392 0.5000 0.2824 x4  4 O 1.77-1.86
Cl: 0.0113 0.0000 0.7762 x4  2 Pa 2.83-2.87, 3 O 2.97-3.12
O: 0.0402 0.5000 0.7773 x4  1 As 1.77
O: 0.2018 0.3149 0.1395 x8  1 As 1.86
O: 0.2171 0.5000 0.5490 x4  1 As 1.78

Output
- Total magnetic moment: 0.0 μB/f.u.
- DFT total energy: -7.229 eV/atom
- ΔE_f (raw): -2.111 eV/atom

Computed, not measured: PaAs2ClO6 after structural relaxation at the GGA-PBE level of DFT.

Cell: 10.5489 8.7336 7.3024 Å, 90.00 111.22 90.00°
With the nearest neighbours (Å) after each atom.
Space group C2/c (No. 15)
Asymmetric unit:
Pa: 0.0000 0.0874 0.2500 x4  6 O 2.16-2.38
As: 0.2143 0.4538 0.3089 x8  4 O 1.77-1.93
Cl: 0.0000 0.3975 0.7500 x4  2 As 2.51
O: 0.0946 0.0912 0.5899 x8  1 As 1.92
O: 0.1324 0.2742 0.2457 x8  1 As 1.77
O: 0.2490 0.4898 0.5830 x8  2 As 1.88-1.93

Output
- Total magnetic moment: 0.0 μB/f.u.
- DFT total energy: -6.797 eV/atom
- ΔE_f (raw): -1.758 eV/atom

Computed, not measured: PaAs2Cl2O6 after structural relaxation at the GGA-PBE level of DFT.

Cell: 5.9621 5.9621 7.4351 Å, 90.00 90.00 120.00°
With the nearest neighbours (Å) after each atom.
Space group P-3m1 (No. 164)
Asymmetric unit:
Pa: 0.0000 0.0000 0.0000 x1  6 O 2.18
As: 0.3333 0.6667 0.7533 x2  3 O 1.74
Cl: 0.3333 0.6667 0.4492 x2  1 As 2.26
O: 0.1758 0.3516 0.8379 x6  1 As 1.74

Output
- Total magnetic moment: 1.0 μB/f.u.
- DFT total energy: -6.467 eV/atom
- ΔE_f (raw): -1.719 eV/atom

Computed, not measured: PaAs2ClO8 after structural relaxation at the GGA-PBE level of DFT.

Cell: 5.8069 5.8069 8.1735 Å, 90.00 90.00 120.00°
With the nearest neighbours (Å) after each atom.
Space group P-3m1 (No. 164)
Asymmetric unit:
Pa: 0.0000 0.0000 0.0000 x1  6 O 2.16
As: 0.3333 0.6667 0.7661 x2  4 O 1.70-1.72
Cl: 0.0000 0.0000 0.5000 x1  12 O 3.36-3.39
O: 0.1758 0.3515 0.8490 x6  1 As 1.72
O: 0.3333 0.6667 0.5577 x2  1 As 1.70

Output
- Total magnetic moment: 2.0 μB/f.u.
- DFT total energy: -6.522 eV/atom
- ΔE_f (raw): -1.496 eV/atom

Computed, not measured: As3Pb5ClO12 after structural relaxation at the GGA-PBE level of DFT.

Cell: 10.4655 7.5940 20.9231 Å, 90.00 119.70 90.00°
With the nearest neighbours (Å) after each atom.
Space group P2_1/c (No. 14)
Asymmetric unit:
As: 0.0239 0.2441 0.0572 x4  4 O 1.72-1.74
As: 0.3847 0.2420 0.4547 x4  4 O 1.72-1.74
As: 0.4134 0.7469 0.2647 x4  4 O 1.72-1.74
Pb: 0.0078 0.2289 0.8770 x4  3 O 2.41-2.44
Pb: 0.2408 0.2182 0.7458 x4  3 O 2.42-2.43
Pb: 0.2603 0.7336 0.8705 x4  3 O 2.41-2.49
Pb: 0.3311 0.5067 0.5890 x4  6 O 2.49-2.72
Pb: 0.3338 0.5082 0.0759 x4  5 O 2.50-2.71
Cl: 0.0094 0.0134 0.2510 x4  6 Pb 3.18-3.32, 3 O 3.28-3.36
O: 0.0821 0.0964 0.6245 x4  1 As 1.72
O: 0.0874 0.0432 0.1005 x4  1 As 1.73
O: 0.1151 0.2209 0.5077 x4  1 As 1.74
O: 0.1644 0.7471 0.4988 x4  1 As 1.72
O: 0.2463 0.1036 0.9149 x4  1 As 1.72
O: 0.3037 0.0375 0.4456 x4  1 As 1.73
O: 0.3341 0.7471 0.6705 x4  1 As 1.72
O: 0.3598 0.5811 0.8002 x4  1 As 1.73
O: 0.3665 0.5590 0.2954 x4  1 As 1.73
O: 0.3956 0.2465 0.1910 x4  1 As 1.74
O: 0.4800 0.2205 0.0490 x4  1 As 1.74
O: 0.4965 0.2490 0.4162 x4  1 As 1.72

Output
- Total magnetic moment: 0.0 μB/f.u.
- DFT total energy: -5.796 eV/atom
- ΔE_f (raw): -1.328 eV/atom

Computed, not measured: As3Pb5ClO9 after structural relaxation at the GGA-PBE level of DFT.

Cell: 10.6306 10.6306 7.0622 Å, 90.00 90.00 120.00°
With the nearest neighbours (Å) after each atom.
Space group P6_3/m (No. 176)
Asymmetric unit:
As: 0.0169 0.4163 0.2500 x6  3 O 1.79-1.85
Pb: 0.0427 0.7741 0.2500 x6  5 O 2.48-2.64
Pb: 0.3333 0.6667 0.0100 x4  3 O 2.43
Cl: 0.0000 0.0000 0.0000 x2  6 Pb 3.19, 2 Cl 3.53
O: 0.0963 0.3727 0.0562 x12  1 As 1.79
O: 0.1501 0.6134 0.2500 x6  1 As 1.85

Output
- Total magnetic moment: 0.0 μB/f.u.
- DFT total energy: -5.635 eV/atom
- ΔE_f (raw): -1.249 eV/atom